[1]
Density functional theory data (PBE) for crystalline Y3RePb at its relaxed geometry.

Properties
- magnetic moment (μB per formula unit) = 0.00
- D(E_F) (states/eV per atom) = 0.3773
- formation energy from the elements (eV/atom) = 0.15

Geometry as extended XYZ:
```
5
Lattice="5.380 0.000 0.000 0.000 5.380 0.000 0.000 0.000 5.380" Properties=species:S:1:pos:R:3 pbc="T T T"
Y 2.690 0.000 0.000
Y 0.000 0.000 2.690
Y 0.000 2.690 0.000
Pb 2.690 2.690 2.690
Re 0.000 0.000 0.000
```

***

[2]
Density functional theory data (PBE) for crystalline La2GeBi at its relaxed geometry.

Properties
- magnetic moment (μB per formula unit) = 0.00
- D(E_F) (states/eV per atom) = 0.6570
- formation energy from the elements (eV/atom) = -0.87

Geometry as extended XYZ:
```
8
Lattice="-0.136 2.070 3.896 3.149 -3.060 1.736 7.656 8.969 -4.500" Properties=species:S:1:pos:R:3 pbc="T T T"
Bi 3.453 3.328 -0.398
Bi 7.217 4.651 1.530
Ge 2.170 0.584 3.515
Ge 8.500 7.395 -2.384
La 1.065 1.403 0.542
La 5.908 5.306 -1.364
La 9.605 6.576 0.590
La 4.761 2.672 2.496
```

***

[3]
Density functional theory data (PBE) for crystalline Pr6NpN8 at its relaxed geometry.

Properties
- magnetic moment (μB per formula unit) = 1.00
- D(E_F) (states/eV per atom) = 0.0229
- formation energy (no corrections) (eV/atom) = -1.060

Geometry as extended XYZ:
```
15
Lattice="-3.906 3.056 -4.424 -4.656 -4.201 -2.200 -5.862 1.455 2.773" Properties=species:S:1:pos:R:3 pbc="T T T"
N -4.688 0.101 -1.252
N -9.119 -1.057 0.307
N -9.737 0.210 -2.600
N -6.138 -2.783 -1.377
N -7.826 -1.494 -4.570
N -8.287 3.093 -2.474
N -6.598 1.804 0.719
N -5.306 1.367 -4.158
Pr -8.891 1.710 -0.244
Pr -8.519 -2.366 -1.968
Pr -5.906 2.676 -1.884
Pr -7.763 1.197 -4.509
Pr -6.661 -0.887 0.658
Pr -5.534 -1.400 -3.607
Np 0.000 0.000 0.000
```

***

[4]
Density functional theory data (PBE) for crystalline Tb4SmBi3 at its relaxed geometry.

Properties
- magnetic moment (μB per formula unit) = 0.00
- D(E_F) (states/eV per atom) = 1.1577
- formation energy from the elements (eV/atom) = -0.42

Geometry as extended XYZ:
```
8
Lattice="-2.684 -2.266 -2.031 6.291 -2.543 -5.477 -0.325 -3.192 8.045" Properties=species:S:1:pos:R:3 pbc="T T T"
Bi 3.146 -1.272 -2.739
Bi 2.750 -5.980 -1.016
Bi 0.532 -2.021 1.552
Tb 0.913 -3.368 -1.502
Tb -0.191 -3.602 4.271
Tb 2.369 -4.633 2.039
Tb 3.473 -4.399 -3.734
Sm -1.342 -1.133 -1.015
```

***

[5]
Density functional theory data (PBE) for crystalline RbCaCl2 at its relaxed geometry.

Properties
- magnetic moment (μB per formula unit) = 0.71
- D(E_F) (states/eV per atom) = 0.7111
- formation energy (no corrections) (eV/atom) = -1.353

Geometry as extended XYZ:
```
4
Lattice="0.000 3.900 3.900 3.900 0.000 3.900 3.900 3.900 0.000" Properties=species:S:1:pos:R:3 pbc="T T T"
Rb 3.900 3.900 3.900
Cl 5.850 5.850 5.850
Cl 1.950 1.950 1.950
Ca 0.000 0.000 0.000
```

***

[6]
Density functional theory data (PBE) for crystalline V2Ir2Pt at its relaxed geometry.

Properties
- magnetic moment (μB per formula unit) = 0.00
- D(E_F) (states/eV per atom) = 0.6770
- formation energy from the elements (eV/atom) = -0.42

Geometry as extended XYZ:
```
10
Lattice="7.241 0.000 0.000 0.000 7.241 0.000 0.000 0.000 2.808" Properties=species:S:1:pos:R:3 pbc="T T T"
V 6.035 2.415 1.404
V 1.206 4.826 1.404
V 2.415 1.206 1.404
V 4.826 6.035 1.404
Ir 6.281 4.580 0.000
Ir 4.580 0.959 0.000
Ir 2.661 6.281 0.000
Ir 0.959 2.661 0.000
Pt 3.620 3.620 0.000
Pt 0.000 0.000 0.000
```

***

[7]
Density functional theory data (PBE) for crystalline Tb2NdIn at its relaxed geometry.

Properties
- magnetic moment (μB per formula unit) = 1.43
- D(E_F) (states/eV per atom) = 1.4987
- formation energy from the elements (eV/atom) = -0.10

Geometry as extended XYZ:
```
4
Lattice="-3.981 -3.158 2.131 1.307 -4.345 3.126 -0.996 0.105 5.418" Properties=species:S:1:pos:R:3 pbc="T T T"
Tb -2.752 -5.548 8.007
Tb -0.917 -1.849 2.669
In -1.835 -3.699 5.338
Nd 0.000 0.000 0.000
```

***

[8]
Density functional theory data (PBE) for crystalline ZnInCl2 at its relaxed geometry.

Properties
- magnetic moment (μB per formula unit) = 0.00
- D(E_F) (states/eV per atom) = 1.0996
- formation energy (no corrections) (eV/atom) = -0.180

Geometry as extended XYZ:
```
4
Lattice="-2.654 1.692 4.018 -5.031 -0.817 0.263 -1.873 -3.314 3.400" Properties=species:S:1:pos:R:3 pbc="T T T"
In -4.779 -1.219 3.840
Cl -2.389 -0.610 1.920
Cl 0.000 0.000 0.000
Zn -7.168 -1.829 5.760
```

***

Which value of D(E_F) does entry 2 give?
0.6570 states/eV per atom

***

Among the records above, which one has the highest D(E_F)?
Tb2NdIn